# 1
# PrTaHN2

A relaxed PrTaHN2 crystal (PBE-GGA, the Alexandria database).

Lattice parameters (Å, degrees): 5.8508 5.8508 5.5454 121.85 121.85 89.99
Closest atoms and distances in Å follow each position.
Positions (direct):
Pr1 0.2501 0.7501 0.5003  4 N 2.60
Pr2 0.7502 0.2502 0.5004  4 N 2.60
N1 0.2789 0.7789 0.0000  2 Ta 2.08
N2 0.7790 0.7210 0.0000  2 Ta 2.08
N3 0.7211 0.2211 0.0000  2 Ta 2.08
N4 0.2210 0.2790 0.0000  2 Ta 2.08
Ta1 0.0000 0.0000 0.0000  2 H 1.85
Ta2 0.5000 0.5000 0.0000  2 H 1.85
H1 0.7500 0.7500 0.5000  2 Ta 1.85
H2 0.2500 0.2500 0.5000  2 Ta 1.85

space-group type: I4/mcm, No. 140
volume: 126 Å³ per cell
E: -83.2 eV/cell
total moment: 0.000 μB per formula unit

---

# 2
# GaCu12Si3

A relaxed GaCu12Si3 crystal (PBE-GGA, the Alexandria database).

Lattice parameters (Å, degrees): 3.6784 3.6784 14.4504 90.00 90.00 90.00
Closest atoms and distances in Å follow each position.
Positions (direct):
Cu1 0.5000 0.0000 0.8706  2 Si 2.54, 8 Cu 2.55-2.62, 2 Ga 2.62
Cu2 0.0000 0.5000 0.6244  8 Cu 2.56-2.60, 4 Si 2.57
Cu3 0.0000 0.5000 0.8706  2 Si 2.54, 8 Cu 2.55-2.62, 2 Ga 2.62
Cu4 0.5000 0.0000 0.3756  8 Cu 2.56-2.60, 4 Si 2.57
Cu5 0.0000 0.5000 0.3756  8 Cu 2.56-2.60, 4 Si 2.57
Cu6 0.0000 0.5000 0.1294  2 Si 2.54, 8 Cu 2.55-2.62, 2 Ga 2.62
Cu7 0.5000 0.5000 0.2519  8 Cu 2.55-2.56, 4 Si 2.60
Cu8 0.5000 0.5000 0.0000  4 Ga 2.60, 8 Cu 2.62
Cu9 0.5000 0.0000 0.1294  2 Si 2.54, 8 Cu 2.55-2.62, 2 Ga 2.62
Cu10 0.5000 0.5000 0.5000  8 Cu 2.57, 4 Si 2.60
Cu11 0.5000 0.0000 0.6244  8 Cu 2.56-2.60, 4 Si 2.57
Cu12 0.5000 0.5000 0.7481  8 Cu 2.55-2.56, 4 Si 2.60
Si1 0.0000 0.0000 0.5000  12 Cu 2.57-2.60
Si2 0.0000 0.0000 0.7490  12 Cu 2.54-2.60
Si3 0.0000 0.0000 0.2510  12 Cu 2.54-2.60
Ga1 0.0000 0.0000 0.0000  12 Cu 2.60-2.62

space-group type: P4/mmm, No. 123
volume: 196 Å³ per cell
E: -69.3 eV/cell
total moment: 0.000 μB per formula unit
ΔE_f (raw): -5.4 kJ/mol of atoms

---

# 3
# ZnHg2Ir

A relaxed ZnHg2Ir crystal (PBE-GGA, the Alexandria database).

Lattice parameters (Å, degrees): 4.8980 4.8980 3.1695 90.00 90.00 108.37
Closest atoms and distances in Å follow each position.
Positions (direct):
Hg1 0.5000 0.5000 0.0000  4 Hg 2.87-3.17, 4 Ir 2.92, 4 Zn 2.92
Hg2 0.0000 0.0000 0.0000  4 Hg 2.87-3.17, 4 Zn 2.92, 4 Ir 2.92
Ir1 0.5000 0.0000 0.5000  2 Zn 2.87, 8 Hg 2.92, 2 Ir 3.17
Zn1 0.0000 0.5000 0.5000  2 Ir 2.87, 8 Hg 2.92, 2 Zn 3.17

space-group type: Cmmm, No. 65
volume: 72 Å³ per cell
E: -9.4 eV/cell
total moment: 0.000 μB per formula unit
DFT formation energy: 0.33 eV per atom

---

# 4
# LiSmTmRu

A relaxed LiSmTmRu crystal (PBE-GGA, the Alexandria database).

Lattice parameters (Å, degrees): 4.9269 4.9269 4.9269 60.00 60.00 60.00
Closest atoms and distances in Å follow each position.
Positions (direct):
Sm1 0.0000 0.0000 0.0000  4 Li 3.02, 4 Ru 3.02
Li1 0.2500 0.2500 0.2500  4 Tm 3.02, 4 Sm 3.02
Tm1 0.5000 0.5000 0.5000  4 Li 3.02, 4 Ru 3.02
Ru1 0.7500 0.7500 0.7500  4 Sm 3.02, 4 Tm 3.02

space-group type: F-43m, No. 216
volume: 85 Å³ per cell
E: -21.4 eV/cell
total moment: 0.000 μB per formula unit
DFT formation energy: -0.26 eV per atom

---

# 5
# Na2GeOs2

A relaxed Na2GeOs2 crystal (PBE-GGA, the Alexandria database).

Lattice parameters (Å, degrees): 6.2194 6.2194 5.1551 90.00 90.00 90.00
Closest atoms and distances in Å follow each position.
Positions (direct):
Na1 0.6697 0.8303 0.5000  5 Na 2.98-3.27, 6 Os 3.10-3.20
Na2 0.3303 0.1697 0.5000  5 Na 2.98-3.27, 6 Os 3.10-3.20
Na3 0.8303 0.3303 0.5000  5 Na 2.98-3.27, 6 Os 3.10-3.20
Na4 0.1697 0.6697 0.5000  5 Na 2.98-3.27, 6 Os 3.10-3.20
Os1 0.3655 0.8655 0.0000  1 Os 2.37, 2 Ge 2.42
Os2 0.6345 0.1345 0.0000  1 Os 2.37, 2 Ge 2.42
Os3 0.8655 0.6345 0.0000  1 Os 2.37, 2 Ge 2.42
Os4 0.1345 0.3655 0.0000  1 Os 2.37, 2 Ge 2.42
Ge1 0.5000 0.5000 0.0000  4 Os 2.42
Ge2 0.0000 0.0000 0.0000  4 Os 2.42

space-group type: P4/mbm, No. 127
volume: 199 Å³ per cell
E: -54.8 eV/cell
total moment: 0.000 μB per formula unit
polymorph energy (0 for the lowest one): 0 meV/atom
DFT formation energy: 0.46 eV per atom

---

# 6
# PmZn5CdPt2

A relaxed PmZn5CdPt2 crystal (PBE-GGA, the Alexandria database).

Lattice parameters (Å, degrees): 4.8520 4.8520 7.5414 90.00 90.00 90.00
Closest atoms and distances in Å follow each position.
Positions (direct):
Zn1 0.0000 0.5000 0.2275  2 Pt 2.45
Zn2 0.0000 0.5000 0.7725  2 Pt 2.45
Zn3 0.5000 0.0000 0.2275  2 Pt 2.45
Zn4 0.5000 0.5000 0.5000  2 Pt 2.43
Zn5 0.5000 0.0000 0.7725  2 Pt 2.45
Pm1 0.0000 0.0000 0.5000  12 Zn 3.18-3.43
Pt1 0.5000 0.5000 0.1779  5 Zn 2.43-2.45, 1 Pt 2.68
Pt2 0.5000 0.5000 0.8221  5 Zn 2.43-2.45, 1 Pt 2.68
Cd1 0.0000 0.0000 0.0000  8 Zn 2.97

space-group type: P4/mmm, No. 123
volume: 178 Å³ per cell
E: -26.2 eV/cell
total moment: 0.000 μB per formula unit
DFT formation energy: -0.24 eV per atom